# 1
A relaxed structure of BaSc2NbPt. Source: Alexandria via LeMat-Bulk, functional PBE.

Energy above the lowest structure with this stoichiometry: 1481 meV per atom
Mass density: 6321 kg/m3
E_form: 1714 meV per atom
Crystal system: tetragonal

Unit cell a=5.148 b=5.108 c=5.148 alpha=90.00 beta=90.00 gamma=90.00
Positions (direct):
Sc 0.000 0.000 0.500
Sc 0.500 0.000 0.000
Nb 0.500 0.500 0.500
Ba 0.000 0.000 0.000
Pt 0.000 0.500 0.000

=====

# 2
A relaxed structure of Pm2TcOs3. Source: Alexandria via LeMat-Bulk, functional PBE.

Mass density: 14025 kg/m3
E_form: -100 meV per atom
Crystal system: monoclinic

Unit cell a=5.539 b=5.539 c=5.339 alpha=89.89 beta=121.19 gamma=120.18
Positions (direct):
Pm 0.751 0.375 0.127
Pm 0.249 0.625 0.873
Tc 0.000 0.000 0.000
Os 0.500 0.500 0.500
Os 0.000 0.000 0.500
Os 0.500 0.000 0.500

=====

# 3
A relaxed structure of Zn2NiTe. Source: Alexandria via LeMat-Bulk, functional PBE.

Energy above the lowest structure with this stoichiometry: 133 meV per atom
Formation energy (no corrections): 0.093 eV/atom
Mass density: 7118 kg/m3
Crystal system: orthorhombic

Unit cell a=4.187 b=4.248 c=4.240 alpha=78.79 beta=90.00 gamma=90.00
Positions (direct):
Ni 0.500 0.250 0.250
Te 0.500 0.750 0.750
Zn 0.000 0.051 0.051
Zn 0.000 0.449 0.449

=====

# 4
A relaxed structure of ScRh2Se2. Source: Alexandria via LeMat-Bulk, functional PBE.

Energy above the lowest structure with this stoichiometry: 0 meV per atom
Formation energy (no corrections): -0.477 eV/atom
Mass density: 7809 kg/m3
Crystal system: tetragonal

Unit cell a=7.104 b=7.104 c=3.444 alpha=90.00 beta=90.00 gamma=90.00
Positions (direct):
Sc 0.000 0.000 0.000
Sc 0.500 0.500 0.000
Rh 0.160 0.660 0.500
Rh 0.660 0.840 0.500
Rh 0.840 0.340 0.500
Rh 0.340 0.160 0.500
Se 0.343 0.843 0.000
Se 0.843 0.657 0.000
Se 0.657 0.157 0.000
Se 0.157 0.343 0.000

=====

# 5
A relaxed structure of Na2MgAgO4. Source: Alexandria via LeMat-Bulk, functional PBE.

Formation energy (no corrections): -1.211 eV/atom
Mass density: 4321 kg/m3
Crystal system: monoclinic

Unit cell a=6.328 b=6.328 c=6.373 alpha=119.11 beta=119.11 gamma=89.35
Positions (direct):
Na 0.500 0.000 0.000
Na 0.500 0.000 0.500
Na 0.000 0.000 0.500
Na 0.500 0.500 0.000
Mg 0.000 0.500 0.000
Mg 0.000 0.500 0.500
Ag 0.500 0.500 0.500
Ag 0.000 0.000 0.000
O 0.205 0.738 0.967
O 0.762 0.295 0.533
O 0.238 0.705 0.467
O 0.795 0.262 0.033
O 0.776 0.751 0.995
O 0.749 0.724 0.505
O 0.251 0.276 0.495
O 0.224 0.249 0.005

=====

# 6
A relaxed structure of SiHgAu2. Source: Alexandria via LeMat-Bulk, functional PBE.

Energy above the lowest structure with this stoichiometry: 150 meV per atom
Formation energy (no corrections): 0.214 eV/atom
Mass density: 12991 kg/m3
Crystal system: orthorhombic

Unit cell a=5.656 b=5.656 c=5.656 alpha=149.97 beta=117.02 gamma=71.33
Positions (direct):
Au 0.029 0.029 0.000
Au 0.471 0.471 0.000
Hg 0.750 0.250 0.500
Si 0.250 0.750 0.500

=====

# 7
A relaxed structure of BeAu6. Source: Alexandria via LeMat-Bulk, functional PBE.

Mass density: 16421 kg/m3
E_form: 21 meV per atom
Crystal system: trigonal

Unit cell a=3.074 b=6.803 c=6.803 alpha=117.77 beta=98.66 gamma=98.66
Positions (direct):
Be 0.500 0.000 0.000
Au 0.569 0.595 0.851
Au 0.718 0.149 0.744
Au 0.025 0.744 0.595
Au 0.975 0.256 0.405
Au 0.282 0.851 0.256
Au 0.431 0.405 0.149

=====

# 8
A relaxed structure of CsCd2CuPd. Source: Alexandria via LeMat-Bulk, functional PBE.

Mass density: 5936 kg/m3
E_form: 40 meV per atom
Crystal system: tetragonal

Unit cell a=5.364 b=5.364 c=5.130 alpha=90.00 beta=90.00 gamma=90.00
Positions (direct):
Cs 0.500 0.500 0.500
Cu 0.000 0.000 0.500
Pd 0.000 0.000 0.000
Cd 0.000 0.500 0.000
Cd 0.500 0.000 0.000

=====

# 9
A relaxed structure of LiAsBr. Source: Alexandria via LeMat-Bulk, functional PBE.

Energy above the lowest structure with this stoichiometry: 0 meV per atom
Formation energy (no corrections): -0.820 eV/atom
Mass density: 3624 kg/m3
Crystal system: tetragonal

Unit cell a=3.611 b=3.611 c=11.367 alpha=90.00 beta=90.00 gamma=90.00
Positions (direct):
Li 0.000 0.500 0.599
Li 0.500 0.000 0.401
Br 0.500 0.000 0.635
Br 0.000 0.500 0.365
As 0.000 0.500 0.965
As 0.500 0.000 0.035

=====

# 10
A relaxed structure of AlZnSi. Source: Alexandria via LeMat-Bulk, functional PBE.

Formation energy (no corrections): 0.197 eV/atom
Mass density: 4198 kg/m3
Crystal system: orthorhombic

Unit cell a=7.858 b=7.614 c=2.720 alpha=84.99 beta=74.84 gamma=20.17
Positions (direct):
Zn 0.670 0.670 0.330
Si 0.333 0.333 0.667
Al 0.997 0.997 0.003

=====

# 11
A relaxed structure of TlReIr4. Source: Alexandria via LeMat-Bulk, functional PBE.

Mass density: 19240 kg/m3
E_form: 773 meV per atom
Crystal system: cubic

Unit cell a=5.211 b=5.211 c=5.211 alpha=60.00 beta=60.00 gamma=60.00
Positions (direct):
Tl 0.000 0.000 0.000
Re 0.750 0.750 0.750
Ir 0.875 0.375 0.375
Ir 0.375 0.375 0.875
Ir 0.375 0.875 0.375
Ir 0.375 0.375 0.375

=====

# 12
A relaxed structure of Be9VRe2. Source: Alexandria via LeMat-Bulk, functional PBE.

Mass density: 7453 kg/m3
E_form: -238 meV per atom
Crystal system: trigonal

Unit cell a=4.331 b=4.331 c=7.357 alpha=72.88 beta=72.88 gamma=60.00
Positions (direct):
Be 0.666 0.666 0.001
Be 0.334 0.334 0.999
Be 0.500 0.500 0.500
Be 0.416 0.416 0.246
Be 0.922 0.416 0.246
Be 0.416 0.922 0.246
Be 0.584 0.584 0.754
Be 0.584 0.078 0.754
Be 0.078 0.584 0.754
V 0.000 0.000 0.000
Re 0.855 0.855 0.436
Re 0.145 0.145 0.564

=====

Look up the mass density of the eleventh one. 19240 kg/m3

=====

Among the records above, which one has the lowest mass density? LiAsBr

=====

Among the records above, which one has the lowest mass density? LiAsBr

=====

Which formula does entry 7 have? BeAu6